! Cd3Au, relaxed, DFT PBE; values from VASP
! Total magnetic moment   0.00 μB per cell
! DFT formation energy   0.054 eV per atom
! Crystal system   cubic
&SYSTEM
  ibrav = 0, nat = 4, ntyp = 2
/
ATOMIC_SPECIES
Cd 112.41 Cd.upf
Au 196.97 Au.upf
ATOMIC_POSITIONS angstrom
Cd 0.000 0.000 2.689
Cd 0.000 2.689 0.000
Cd 2.689 0.000 0.000
Au 0.000 0.000 0.000
CELL_PARAMETERS angstrom
5.379 0.000 0.000
0.000 5.379 0.000
0.000 0.000 5.379